# 1
LaNd3Th2S6: relaxed, GGA-PBE.

- uncorrected formation energy (eV per atom) = -1.977
- magnetic moment (Bohr magnetons per cell) = 0.0
- calculated density (Mg/m³) = 7.12
- total DFT energy (no corrections) (eV/atom) = -6.88

a = 7.0400 Å, b = 12.1634 Å, c = 7.0870 Å
α = 90.00°, β = 109.29°, γ = 90.00°
Space group C2/m (No. 12)
Symmetry-distinct sites (fractional):
La1 0.0000 0.0000 0.0000 x2
Nd1 0.0000 0.1637 0.5000 x4
Nd2 0.0000 0.5000 0.5000 x2
Th1 0.0000 0.3329 0.0000 x4
S1 0.2448 0.5000 0.2486 x4
S2 0.2469 0.3310 0.7477 x8

***

# 2
LaNd2ThS4: relaxed, GGA-PBE.

- uncorrected formation energy (eV per atom) = -2.009
- magnetic moment (Bohr magnetons per cell) = 0.0
- calculated density (Mg/m³) = 6.81
- total DFT energy (no corrections) (eV/atom) = -6.81

a = 7.0690 Å, b = 4.0677 Å, c = 7.0848 Å
α = 90.00°, β = 109.36°, γ = 90.00°
Space group P2/m (No. 10)
Symmetry-distinct sites (fractional):
La1 0.0000 0.0000 0.0000 x1
Nd1 0.0000 0.5000 0.5000 x1
Nd2 0.5000 0.0000 0.5000 x1
Th1 0.5000 0.5000 0.0000 x1
S1 0.2534 0.0000 0.7494 x2
S2 0.2547 0.5000 0.2527 x2

***

# 3
LaNd4Th3S8: relaxed, GGA-PBE.

- uncorrected formation energy (eV per atom) = -1.969
- magnetic moment (Bohr magnetons per cell) = 0.0
- calculated density (Mg/m³) = 7.28
- total DFT energy (no corrections) (eV/atom) = -6.92

a = 8.1019 Å, b = 8.1019 Å, c = 20.0712 Å
α = 90.00°, β = 90.00°, γ = 120.00°
Space group R-3m (No. 166, hexagonal axes)
Symmetry-distinct sites (fractional):
La1 0.0000 0.0000 0.0000 x3
Nd1 0.0000 0.0000 0.5000 x3
Nd2 0.0000 0.5000 0.5000 x9
Th1 0.0000 0.5000 0.0000 x9
S1 0.0000 0.0000 0.2500 x6
S2 0.0032 0.5016 0.2496 x18

***

# 4
La2NdTl3S6: relaxed, GGA-PBE.

- uncorrected formation energy (eV per atom) = -1.503
- magnetic moment (Bohr magnetons per cell) = 0.0
- calculated density (Mg/m³) = 5.82
- total DFT energy (no corrections) (eV/atom) = -5.38

a = 7.3635 Å, b = 12.7528 Å, c = 7.8503 Å
α = 90.00°, β = 108.22°, γ = 90.00°
Space group C2/m (No. 12)
Symmetry-distinct sites (fractional):
La1 0.0000 0.1667 0.0000 x4
Nd1 0.0000 0.5000 0.0000 x2
Tl1 0.0000 0.0000 0.5000 x2
Tl2 0.0000 0.3335 0.5000 x4
S1 0.2329 0.3353 0.2041 x8
S2 0.2388 0.0000 0.2051 x4

***

# 5
La2NdTmS4: relaxed, GGA-PBE.

- uncorrected formation energy (eV per atom) = -2.070
- magnetic moment (Bohr magnetons per cell) = 0.0
- calculated density (Mg/m³) = 6.32
- total DFT energy (no corrections) (eV/atom) = -6.52

a = 7.0345 Å, b = 4.0130 Å, c = 7.0772 Å
α = 90.00°, β = 108.96°, γ = 90.00°
Space group P2/m (No. 10)
Symmetry-distinct sites (fractional):
La1 0.0000 0.0000 0.0000 x1
La2 0.5000 0.5000 0.0000 x1
Nd1 0.0000 0.5000 0.5000 x1
Tm1 0.5000 0.0000 0.5000 x1
S1 0.2563 0.0000 0.7370 x2
S2 0.2673 0.5000 0.2705 x2

***

# 6
La3Nd2TmS6: relaxed, GGA-PBE.

- uncorrected formation energy (eV per atom) = -2.085
- magnetic moment (Bohr magnetons per cell) = 0.0
- calculated density (Mg/m³) = 6.17
- total DFT energy (no corrections) (eV/atom) = -6.55

a = 7.0458 Å, b = 12.2266 Å, c = 7.0690 Å
α = 90.00°, β = 109.50°, γ = 90.00°
Space group C2/m (No. 12)
Symmetry-distinct sites (fractional):
La1 0.0000 0.0000 0.0000 x2
La2 0.0000 0.3290 0.0000 x4
Nd1 0.0000 0.1668 0.5000 x4
Tm1 0.0000 0.5000 0.5000 x2
S1 0.2388 0.3396 0.7359 x8
S2 0.2406 0.5000 0.2599 x4

***

# 7
La4Nd3TmS8: relaxed, GGA-PBE.

- uncorrected formation energy (eV per atom) = -2.083
- magnetic moment (Bohr magnetons per cell) = 0.0
- calculated density (Mg/m³) = 6.08
- total DFT energy (no corrections) (eV/atom) = -6.55

a = 8.1698 Å, b = 8.1698 Å, c = 20.0368 Å
α = 90.00°, β = 90.00°, γ = 120.00°
Space group R-3m (No. 166, hexagonal axes)
Symmetry-distinct sites (fractional):
La1 0.0000 0.0000 0.0000 x3
La2 0.0000 0.5000 0.0000 x9
Nd1 0.0000 0.5000 0.5000 x9
Tm1 0.0000 0.0000 0.5000 x3
S1 0.0000 0.0000 0.2484 x6
S2 0.0112 0.5056 0.2456 x18

***

# 8
LaNd2TmS6: relaxed, GGA-PBE.

- uncorrected formation energy (eV per atom) = -2.049
- magnetic moment (Bohr magnetons per cell) = 0.0
- calculated density (Mg/m³) = 4.73
- total DFT energy (no corrections) (eV/atom) = -6.42

a = 7.1425 Å, b = 7.1425 Å, c = 18.7893 Å
α = 90.00°, β = 90.00°, γ = 120.00°
Space group R3 (No. 146, hexagonal axes)
Symmetry-distinct sites (fractional):
La1 0.0000 0.0000 0.0000 x3
Nd1 0.0000 0.0000 0.2874 x3
Nd2 0.0000 0.0000 0.7919 x3
Tm1 0.0000 0.0000 0.4932 x3
S1 0.0037 0.7142 0.3964 x9
S2 0.0393 0.3527 0.5612 x9

***

# 9
LaNd2TmS4: relaxed, GGA-PBE.

- uncorrected formation energy (eV per atom) = -2.026
- magnetic moment (Bohr magnetons per cell) = 0.0
- calculated density (Mg/m³) = 6.46
- total DFT energy (no corrections) (eV/atom) = -6.46

a = 6.9957 Å, b = 3.9897 Å, c = 7.0547 Å
α = 90.00°, β = 108.87°, γ = 90.00°
Space group P2/m (No. 10)
Symmetry-distinct sites (fractional):
La1 0.0000 0.0000 0.0000 x1
Nd1 0.5000 0.0000 0.5000 x1
Nd2 0.5000 0.5000 0.0000 x1
Tm1 0.0000 0.5000 0.5000 x1
S1 0.2356 0.0000 0.7327 x2
S2 0.2451 0.5000 0.2614 x2

***

# 10
LaNdTm2S4: relaxed, GGA-PBE.

- uncorrected formation energy (eV per atom) = -2.025
- magnetic moment (Bohr magnetons per cell) = 0.0
- calculated density (Mg/m³) = 6.99
- total DFT energy (no corrections) (eV/atom) = -6.42

a = 6.7919 Å, b = 3.9015 Å, c = 7.0876 Å
α = 90.00°, β = 108.49°, γ = 90.00°
Space group P2/m (No. 10)
Symmetry-distinct sites (fractional):
La1 0.0000 0.0000 0.0000 x1
Nd1 0.5000 0.5000 0.0000 x1
Tm1 0.0000 0.5000 0.5000 x1
Tm2 0.5000 0.0000 0.5000 x1
S1 0.2434 0.0000 0.7259 x2
S2 0.2607 0.5000 0.2756 x2

***

# 11
La3Nd4TmS8: relaxed, GGA-PBE.

- uncorrected formation energy (eV per atom) = -2.059
- magnetic moment (Bohr magnetons per cell) = 0.0
- calculated density (Mg/m³) = 6.15
- total DFT energy (no corrections) (eV/atom) = -6.52

a = 8.1649 Å, b = 8.1649 Å, c = 19.9264 Å
α = 90.00°, β = 90.00°, γ = 120.00°
Space group R-3m (No. 166, hexagonal axes)
Symmetry-distinct sites (fractional):
La1 0.0000 0.5000 0.0000 x9
Nd1 0.0000 0.0000 0.5000 x3
Nd2 0.0000 0.5000 0.5000 x9
Tm1 0.0000 0.0000 0.0000 x3
S1 0.0000 0.0000 0.2484 x6
S2 0.0134 0.5067 0.7482 x18

***

# 12
La2Nd3YS6: relaxed, GGA-PBE.

- uncorrected formation energy (eV per atom) = -2.069
- magnetic moment (Bohr magnetons per cell) = 0.0
- calculated density (Mg/m³) = 5.74
- total DFT energy (no corrections) (eV/atom) = -6.69

a = 7.0579 Å, b = 12.2487 Å, c = 7.0429 Å
α = 90.00°, β = 109.63°, γ = 90.00°
Space group C2/m (No. 12)
Symmetry-distinct sites (fractional):
La1 0.0000 0.1661 0.0000 x4
Nd1 0.0000 0.0000 0.5000 x2
Nd2 0.0000 0.3301 0.5000 x4
Y1 0.0000 0.5000 0.0000 x2
S1 0.2390 0.5000 0.7491 x4
S2 0.2436 0.3383 0.2468 x8

***

> Look up the magnetic moment of the sixth one.

0.0 Bohr magnetons per cell

***

> calculated density of number 3 (LaNd4Th3S8)?

7.28 Mg/m³

***

> uncorrected formation energy of number 9 (LaNd2TmS4)?

-2.026 eV per atom

***

> Which formula does entry 10 have?

LaNdTm2S4